Material: Zr3Ir
Method: DFT, meta-GGA SCAN
State: single point on PBEsol structure

Cell lengths 3.301, 3.301, 7.187 Å; angles 90.00, 90.00, 90.00 degrees
Element x y z (fractional)
Zr (0.500, 0.500, 0.220)
Zr (0.000, 0.000, 0.500)
Ir (0.000, 0.000, 0.000)
Zr (0.500, 0.500, 0.780)

Computed properties:
formation enthalpy at 0 K	-0.541	eV per atom



Material: Zr3Ir
Method: DFT, meta-GGA SCAN
State: single point on PBEsol structure

Cell lengths 3.208, 3.208, 9.159 Å; angles 90.00, 90.00, 120.00 degrees
Element x y z (fractional)
Zr (0.667, 0.333, 0.780)
Zr (0.667, 0.333, 0.220)
Ir (0.000, 0.000, 0.000)
Zr (0.000, 0.000, 0.500)

Computed properties:
formation enthalpy at 0 K	-0.178	eV per atom